# TmNpVO6 GGA+U relaxed
data_TmNpVO6
_chemical_formula_sum 'Tm2 Np2 V2 O12'
_space_group_name_H-M_alt 'P -3 1 c'
_space_group_IT_number 163
_space_group_name_Hall '-P 3 2c'
_cell_length_a 5.5369
_cell_length_b 5.5369
_cell_length_c 8.7934
_cell_angle_alpha 90.00
_cell_angle_beta 90.00
_cell_angle_gamma 120.00
loop_
_atom_site_label
_atom_site_fract_x
_atom_site_fract_y
_atom_site_fract_z
_atom_site_occupancy
Tm1 0.3333 0.6667 0.2500 1
Np1 0.3333 0.6667 0.7500 1
V1 0.0000 0.0000 0.0000 1
O1 0.0218 0.3366 0.6262 1
# electronic total energy = -8.745 eV per atom